Computed, not measured: crystalline NaBeO2 at its relaxed geometry at the PBE-GGA level of DFT.

Geometry as POSCAR:
```
NaBeO2
1.0
1.5787 0.9115 5.7257
-1.5787 0.9115 5.7257
0.0000 -1.8230 5.7257
Na Be O
1 1 2
Direct
0.0000 0.0000 0.0000
0.5000 0.5000 0.5000
0.4169 0.4169 0.4169
0.5831 0.5831 0.5831
```

Values from the calculation:
Its symmetry is R-3m (166). The value obtained for the density of states at the Fermi level is 1.69 states/eV/f.u.

=====

Computed, not measured: crystalline NaBeOsO5 at its relaxed geometry at the PBE-GGA level of DFT.

Geometry as POSCAR:
```
NaBeOsO5
1.0
3.2815 -4.2771 0.0000
3.2815 4.2771 0.0000
-3.1752 0.0000 6.4782
Na Be Os O
2 2 2 10
Direct
0.1607 0.8393 0.7500
0.8393 0.1607 0.2500
0.1876 0.8124 0.2500
0.8124 0.1876 0.7500
0.5000 0.5000 0.0000
0.5000 0.5000 0.5000
0.1314 0.2683 0.9055
0.2045 0.6013 0.3763
0.2683 0.1314 0.4055
0.3987 0.7955 0.1237
0.4245 0.5755 0.7500
0.5755 0.4245 0.2500
0.6013 0.2045 0.8763
0.7317 0.8686 0.5945
0.7955 0.3987 0.6237
0.8686 0.7317 0.0945
```

Values from the calculation:
Its symmetry is C2/c (15). The value obtained for the density of states at the Fermi level is 3.69 states/eV/f.u.

=====

Computed, not measured: crystalline Na2BeOsO6 at its relaxed geometry at the PBE-GGA level of DFT.

Geometry as POSCAR:
```
Na2BeOsO6
1.0
5.2375 0.0000 0.0000
0.0000 5.2513 0.0000
-5.2337 0.0000 7.3758
Na Be Os O
4 2 2 12
Direct
0.2488 0.0157 0.2503
0.2488 0.4843 0.7503
0.7512 0.5157 0.2497
0.7512 0.9843 0.7497
0.5000 0.0000 0.0000
0.5000 0.5000 0.5000
0.0000 0.0000 0.5000
0.0000 0.5000 0.0000
0.1999 0.2223 0.9771
0.1999 0.2777 0.4771
0.2545 0.7236 0.9771
0.2545 0.7764 0.4771
0.2974 0.0046 0.7524
0.2974 0.4954 0.2524
0.7026 0.5046 0.7476
0.7026 0.9954 0.2476
0.7455 0.2236 0.5229
0.7455 0.2764 0.0229
0.8001 0.7223 0.5229
0.8001 0.7777 0.0229
```

Values from the calculation:
Its symmetry is P2_1/c (14).

=====

no.,total magnetic moment (μB per atom),formation energy from raw total energies (eV per atom)
1,0.2500,-1.303
2,0.1148,-1.498
3,0.0000,-1.389